Entry 1:
SrAlMo PBE-GGA optimized geometry; energy above the lowest structure with this stoichiometry = 1.89 eV/f.u.; ρ = 3.79 g/cm3; symmetry = F-43m (216); crystal system = cubic; calculated total energy = -3.822 eV per atom
1.0
0.7447 -1.1832 4.8735
1.4127 3.5875 3.2924
-3.2564 1.6258 3.5296
Al Mo Sr
1 1 1
direct
0.2500 0.2500 0.2500 Al
0.7500 0.7500 0.7500 Mo
0.0000 0.0000 0.0000 Sr

Entry 2:
B2W5C6 PBE-GGA optimized geometry; ρ = 12.33 g/cm3; symmetry = P-3m1 (164); crystal system = trigonal; calculated total energy = -9.756 eV per atom
1.0
2.9563 0.0000 0.0000
-1.4781 2.5602 0.0000
0.0000 0.0000 18.0250
B C W
2 6 5
direct
0.6667 0.3333 0.3356 B
0.3333 0.6667 0.6644 B
0.0000 0.0000 0.1343 C
0.3333 0.6667 0.3172 C
0.6667 0.3333 0.4282 C
0.3333 0.6667 0.5718 C
0.6667 0.3333 0.6828 C
0.0000 0.0000 0.8657 C
0.6667 0.3333 0.0639 W
0.3333 0.6667 0.2046 W
0.0000 0.0000 0.5000 W
0.6667 0.3333 0.7954 W
0.3333 0.6667 0.9361 W

> Look up the calculated total energy of the first one.

-3.822 eV per atom

> Which of these has the highest ρ?

B2W5C6

Please write out number 1 again, unchanged.
SrAlMo PBE-GGA optimized geometry; energy above the lowest structure with this stoichiometry = 1.89 eV/f.u.; ρ = 3.79 g/cm3; symmetry = F-43m (216); crystal system = cubic; calculated total energy = -3.822 eV per atom
1.0
0.7447 -1.1832 4.8735
1.4127 3.5875 3.2924
-3.2564 1.6258 3.5296
Al Mo Sr
1 1 1
direct
0.2500 0.2500 0.2500 Al
0.7500 0.7500 0.7500 Mo
0.0000 0.0000 0.0000 Sr

> Which of these has the lowest calculated total energy?

B2W5C6